Record 1
Compound: IrS2N
Source: Alexandria via LeMat-Bulk
Functional: PBE
Structure: relaxed

The structure in CIF format:
```
data_IrS2N
_space_group_name_H-M_alt 'I -4 2 d'
_space_group_IT_number 122
_space_group_name_Hall 'I -4 2bw'
_cell_length_a 4.9516
_cell_length_b 4.9516
_cell_length_c 10.3926
_cell_angle_alpha 90.00
_cell_angle_beta 90.00
_cell_angle_gamma 90.00
loop_
_atom_site_label
_atom_site_fract_x
_atom_site_fract_y
_atom_site_fract_z
Ir1 0.0000 0.0000 0.0000
S1 0.2214 0.2500 0.6250
N1 0.0000 0.0000 0.5000
```

## Properties
crystal system: tetragonal



Record 2
Compound: IrS3N
Source: Alexandria via LeMat-Bulk
Functional: PBE
Structure: relaxed

The structure in CIF format:
```
data_IrS3N
_space_group_name_H-M_alt 'P m -3 m'
_space_group_IT_number 221
_space_group_name_Hall '-P 4 2 3'
_cell_length_a 4.5868
_cell_length_b 4.5868
_cell_length_c 4.5868
_cell_angle_alpha 90.00
_cell_angle_beta 90.00
_cell_angle_gamma 90.00
loop_
_atom_site_label
_atom_site_fract_x
_atom_site_fract_y
_atom_site_fract_z
Ir1 0.0000 0.0000 0.0000
S1 0.0000 0.0000 0.5000
N1 0.5000 0.5000 0.5000
```

## Properties
energy relative to the lowest polymorph listed for this composition: 413 meV/atom
crystal system: cubic



Record 3
Compound: IrSN3
Source: Alexandria via LeMat-Bulk
Functional: PBE
Structure: relaxed

The structure in CIF format:
```
data_IrSN3
_space_group_name_H-M_alt 'P m -3 m'
_space_group_IT_number 221
_space_group_name_Hall '-P 4 2 3'
_cell_length_a 3.5284
_cell_length_b 3.5284
_cell_length_c 3.5284
_cell_angle_alpha 90.00
_cell_angle_beta 90.00
_cell_angle_gamma 90.00
loop_
_atom_site_label
_atom_site_fract_x
_atom_site_fract_y
_atom_site_fract_z
Ir1 0.0000 0.0000 0.0000
S1 0.5000 0.5000 0.5000
N1 0.0000 0.5000 0.5000
```

## Properties
crystal system: cubic



Total DFT energy (no corrections) across the listed records, respectively: -87.06; -20.45; -27.32 eV/cell.